First-principles (PBE-GGA) data for a geometry-optimized Ac2Zn3CdHg4 structure, as listed in Alexandria.

Results
As for the space group: P-4m2. The calculation puts the formation energy at -0.29 eV per atom.

Cell: 4.740 4.740 11.074 Å, 90.00 90.00 90.00°
Fractional positions:
Ac 0.500 0.000 0.246
Ac 0.000 0.500 0.754
Zn 0.000 0.000 0.500
Zn 0.500 0.000 0.874
Zn 0.000 0.500 0.126
Cd 0.500 0.500 0.500
Hg 0.500 0.500 0.000
Hg 0.000 0.000 0.000
Hg 0.500 0.000 0.639
Hg 0.000 0.500 0.361

***

First-principles (PBE-GGA) data for a geometry-optimized Cd2InPd8 structure, as listed in Alexandria.

Results
The excess energy over the best structure of this formula in the dataset is 0.096 eV per atom. As for the space group: Immm. The calculation puts the formation energy at -0.24 eV per atom.

Cell: 4.443 6.690 7.515 Å, 116.43 107.20 90.00°
Fractional positions:
Cd 0.194 0.694 0.389
Cd 0.806 0.306 0.611
In 0.500 0.000 0.000
Pd 0.648 0.865 0.295
Pd 0.352 0.570 0.705
Pd 0.158 0.158 0.316
Pd 0.000 0.289 0.000
Pd 0.842 0.842 0.684
Pd 0.648 0.430 0.295
Pd 0.352 0.135 0.705
Pd 0.000 0.711 0.000

***

First-principles (PBE-GGA) data for a geometry-optimized KAl2H6 structure, as listed in Alexandria.

Results
The excess energy over the best structure of this formula in the dataset is 0.960 eV per atom. As for the space group: Fm-3m.

Cell: 5.304 5.304 5.304 Å, 60.00 60.00 60.00°
Fractional positions:
K 0.000 0.000 0.000
Al 0.750 0.750 0.750
Al 0.250 0.250 0.250
H 0.373 0.627 0.627
H 0.627 0.627 0.373
H 0.627 0.373 0.627
H 0.627 0.373 0.373
H 0.373 0.373 0.627
H 0.373 0.627 0.373

***

First-principles (PBE-GGA) data for a geometry-optimized Nd4Sm2Er structure, as listed in Alexandria.

Results
The excess energy over the best structure of this formula in the dataset is 0.000 eV per atom. As for the space group: Fdd2. The calculation puts the formation energy at 0.06 eV per atom.

Cell: 12.644 12.644 6.872 Å, 97.00 97.00 150.17°
Fractional positions:
Nd 0.715 0.178 0.869
Nd 0.178 0.715 0.369
Nd 0.185 0.796 0.898
Nd 0.796 0.185 0.398
Nd 0.038 0.148 0.603
Nd 0.559 0.596 0.132
Nd 0.596 0.559 0.632
Nd 0.148 0.038 0.103
Sm 0.626 0.304 0.453
Sm 0.923 0.102 0.047
Sm 0.102 0.923 0.547
Sm 0.304 0.626 0.953
Er 0.421 0.671 0.500
Er 0.671 0.421 0.000

***

Repeat the fourth record exactly.
First-principles (PBE-GGA) data for a geometry-optimized Nd4Sm2Er structure, as listed in Alexandria.

Results
The excess energy over the best structure of this formula in the dataset is 0.000 eV per atom. As for the space group: Fdd2. The calculation puts the formation energy at 0.06 eV per atom.

Cell: 12.644 12.644 6.872 Å, 97.00 97.00 150.17°
Fractional positions:
Nd 0.715 0.178 0.869
Nd 0.178 0.715 0.369
Nd 0.185 0.796 0.898
Nd 0.796 0.185 0.398
Nd 0.038 0.148 0.603
Nd 0.559 0.596 0.132
Nd 0.596 0.559 0.632
Nd 0.148 0.038 0.103
Sm 0.626 0.304 0.453
Sm 0.923 0.102 0.047
Sm 0.102 0.923 0.547
Sm 0.304 0.626 0.953
Er 0.421 0.671 0.500
Er 0.671 0.421 0.000